No. 1
PBE-GGA Sc6Mn6P, relaxed; energy of formation = 0.1228 eV per atom; crystal system = orthorhombic
1.0
-5.125 -0.014 -0.383
2.039 -4.714 0.184
-0.705 0.064 9.433
Sc P Mn
6 1 6
Cartesian
-0.502 0.046 6.727 Sc
-0.202 0.018 2.706 Sc
-0.604 -3.180 4.720 Sc
-3.187 -1.484 4.515 Sc
-0.209 -3.239 0.006 Sc
-2.877 -1.489 -0.205 Sc
0.000 0.000 0.000 P
-3.089 0.041 6.855 Mn
0.493 -2.309 7.138 Mn
-2.071 -2.316 6.963 Mn
0.841 -2.341 2.480 Mn
-2.741 0.009 2.196 Mn
-1.720 -2.348 2.272 Mn


No. 2
PBE-GGA Pm2NdYTm2, relaxed; energy of formation = 0.0641 eV per atom; crystal system = orthorhombic
1.0
5.657 0.000 0.000
0.000 9.826 0.000
0.000 0.000 7.043
Pm Nd Y Tm
4 2 2 4
Cartesian
2.828 8.184 1.776 Pm
2.828 1.642 5.267 Pm
0.000 6.555 5.298 Pm
0.000 3.271 1.745 Pm
0.000 0.000 0.000 Nd
2.828 4.913 3.522 Nd
2.828 4.913 0.000 Y
0.000 0.000 3.522 Y
2.828 1.633 1.760 Tm
0.000 6.547 1.762 Tm
2.828 8.193 5.284 Tm
0.000 3.280 5.282 Tm


No. 3
PBE-GGA Pm6Dy2HoMg, relaxed; energy of formation = 0.1180 eV per atom; crystal system = monoclinic
1.0
9.029 -2.063 -2.141
0.890 8.561 -1.939
0.890 -2.255 8.483
Pm Dy Ho Mg
12 4 2 2
Cartesian
1.256 -0.760 6.139 Pm
5.039 -0.889 6.005 Pm
9.553 5.003 -1.736 Pm
5.771 5.132 -1.602 Pm
4.036 6.943 1.089 Pm
2.259 4.443 -1.505 Pm
6.773 -2.700 3.314 Pm
8.551 -0.201 5.908 Pm
2.078 4.701 2.625 Pm
4.217 2.826 0.679 Pm
8.732 -0.458 1.778 Pm
6.592 1.417 3.724 Pm
5.389 4.335 3.411 Dy
0.906 2.026 1.015 Dy
5.420 -0.093 0.992 Dy
9.903 2.216 3.388 Dy
3.147 7.801 -2.239 Ho
7.662 -3.558 6.642 Ho
3.147 1.674 3.664 Mg
7.662 2.568 0.739 Mg


No. 4
PBE-GGA La15SmTl4, relaxed; energy of formation = -0.1843 eV per atom; crystal system = tetragonal
1.0
-2.680 2.558 3.494
-3.443 -3.751 0.105
13.332 -11.706 18.796
La Sm Tl
15 1 4
Cartesian
-3.061 -0.597 1.800 La
-0.338 -2.988 5.639 La
2.286 -5.292 9.339 La
4.923 -7.608 13.056 La
7.547 -9.912 16.756 La
0.046 0.062 3.701 La
2.696 -2.266 7.438 La
5.326 -4.574 11.145 La
7.955 -6.883 14.852 La
10.606 -9.210 18.589 La
-0.335 -3.093 2.007 La
2.315 -5.420 5.744 La
4.945 -7.729 9.450 La
7.574 -10.037 13.157 La
10.224 -12.365 16.894 La
0.000 0.000 0.000 Sm
2.726 -2.393 3.843 Tl
5.352 -4.700 7.546 Tl
7.979 -7.006 11.249 Tl
10.606 -9.313 14.953 Tl


No. 5
PBE-GGA DyCoC, relaxed; energy of formation = -0.2629 eV per atom; crystal system = tetragonal; relative energy among the computed polymorphs = 0.18 eV/f.u.
1.0
3.558 0.000 0.000
0.000 3.560 0.000
0.000 0.000 3.606
C Co Dy
1 1 1
Cartesian
1.779 1.780 0.000 C
1.779 1.780 1.803 Co
0.000 0.000 0.000 Dy


No. 6
PBE-GGA Nd3Dy, relaxed; energy of formation = 0.1342 eV per atom; crystal system = cubic; relative energy among the computed polymorphs = 0.48 eV/f.u.
1.0
-4.611 1.518 -3.168
0.318 -0.046 -5.788
-2.884 -4.014 -3.029
Nd Dy
3 1
Cartesian
0.000 0.000 0.000 Nd
-5.383 -1.906 -8.989 Nd
-1.794 -0.635 -2.996 Nd
-3.589 -1.271 -5.993 Dy


No. 7
PBE-GGA NiPt2Rh, relaxed; energy of formation = -0.0520 eV per atom; crystal system = tetragonal
1.0
4.714 -0.006 -0.027
1.573 4.444 0.027
-3.129 -2.240 2.723
Ni Rh Pt
1 1 2
Cartesian
2.364 -0.013 1.348 Ni
0.794 2.212 1.375 Rh
0.001 0.001 0.000 Pt
3.143 2.219 0.000 Pt


No. 8
PBE-GGA Ti2In4Cl, relaxed; uncorrected formation energy = 0.4144 eV/atom; crystal system = tetragonal
1.0
5.484 0.000 0.000
0.000 5.484 0.000
2.742 2.742 6.910
Cl Ti In
1 2 4
Cartesian
0.000 0.000 0.000 Cl
5.484 5.484 5.735 Ti
2.742 2.742 1.176 Ti
5.484 5.484 2.832 In
2.742 2.742 4.078 In
0.000 2.742 0.000 In
2.742 0.000 0.000 In


No. 9
PBE-GGA LiCaBr3, relaxed; uncorrected formation energy = -1.4798 eV/atom; crystal system = cubic; relative energy among the computed polymorphs = 1.78 eV/f.u.
1.0
5.065 0.000 0.000
0.000 5.065 0.000
0.000 0.000 5.065
Ca Br Li
1 3 1
Cartesian
2.532 2.532 2.532 Ca
0.000 2.532 0.000 Br
0.000 0.000 2.532 Br
2.532 0.000 0.000 Br
0.000 0.000 0.000 Li


No. 10
PBE-GGA MgPtRh, relaxed; energy of formation = -0.0808 eV per atom; crystal system = cubic; relative energy among the computed polymorphs = 0.94 eV/f.u.
1.0
4.302 0.000 0.000
2.151 3.726 0.000
2.151 1.242 3.513
Mg Pt Rh
1 1 1
Cartesian
4.302 2.484 1.756 Mg
2.151 1.242 0.878 Pt
0.000 0.000 0.000 Rh


No. 11
PBE-GGA CdMo2Se, relaxed; uncorrected formation energy = 0.4522 eV/atom; crystal system = monoclinic; relative energy among the computed polymorphs = 1.22 eV/f.u.
1.0
-0.080 4.663 1.537
-2.779 4.048 -0.077
-2.700 -0.112 4.559
Cd Mo Se
1 2 1
Cartesian
-1.390 2.150 1.505 Cd
-2.533 0.026 4.226 Mo
-2.947 4.161 3.342 Mo
-4.169 6.449 4.515 Se


No. 12
PBE-GGA Tl3SnO6, relaxed; uncorrected formation energy = -0.9362 eV/atom; crystal system = trigonal
1.0
6.759 0.049 -0.099
-0.101 6.758 -0.099
0.048 0.049 6.759
Tl Sn O
6 2 12
Cartesian
2.987 6.393 4.949 Tl
6.280 5.153 2.879 Tl
1.621 3.728 0.347 Tl
5.085 3.128 6.216 Tl
0.427 1.704 3.683 Tl
3.719 0.464 1.614 Tl
0.000 0.000 0.000 Sn
3.353 3.428 3.281 Sn
1.929 6.244 0.293 O
0.472 6.384 4.641 O
3.918 5.455 2.980 O
6.279 4.790 0.371 O
3.096 4.038 5.301 O
1.320 3.672 2.710 O
5.386 3.185 3.853 O
3.611 2.819 1.261 O
0.428 2.067 6.192 O
2.788 1.401 3.582 O
6.235 0.473 1.922 O
4.778 0.613 6.269 O